# NdDySc2, optimized geometry, DFT PBE
# DOS(E_F) in states/eV/f.u.: 5.6
# Energy in eV per cell: -86.9
# Energy of formation in eV/f.u.: 0.3
# Volume in Å³/atom: 28.71
# ΔE to the lowest computed polymorph in eV/atom: 0.025
data_NdDySc2
_chemical_formula_sum 'Nd4 Dy4 Sc8'
_space_group_name_H-M_alt 'F m -3 m'
_space_group_IT_number 225
_space_group_name_Hall '-F 4 2 3'
_cell_length_a 7.7163
_cell_length_b 7.7163
_cell_length_c 7.7163
_cell_angle_alpha 90.00
_cell_angle_beta 90.00
_cell_angle_gamma 90.00
loop_
_atom_site_label
_atom_site_type_symbol
_atom_site_fract_x
_atom_site_fract_y
_atom_site_fract_z
Nd1 Nd 0.0000 0.0000 0.0000
Dy1 Dy 0.0000 0.0000 0.5000
Sc1 Sc 0.2500 0.2500 0.2500